Computed, not measured: PrNd2USb4 after structural relaxation at the PBE level of DFT.

The structure in extended XYZ format:
```
8
Lattice="-1.668 2.595 -5.560 5.203 -2.493 -2.674 -5.038 -5.301 2.648" Properties=species:S:1:pos:R:3 pbc="T T T"
Sb -0.871 1.238 -2.797
Sb -1.630 -2.617 -0.732
Sb 0.127 -2.582 -4.854
Sb -4.068 -3.893 -4.232
Nd 0.966 -3.872 -2.071
Nd 0.000 0.000 0.000
Pr 1.767 0.051 -4.117
U -2.469 -1.328 -3.514
```

Calculated values
E_form (uncorrected) = -718 kJ/mol of formula units
Crystal system = orthorhombic

Computed, not measured: TlCdSnHg3 after structural relaxation at the PBE level of DFT.

The structure in extended XYZ format:
```
12
Lattice="-2.238 -0.880 -3.881 6.657 -4.587 -2.799 -7.956 -3.724 5.433" Properties=species:S:1:pos:R:3 pbc="T T T"
Cd -1.737 -1.992 0.111
Cd -1.801 -7.200 -1.357
Hg -0.529 -3.291 -2.977
Hg -3.248 -4.567 -1.120
Hg -7.439 -4.323 3.928
Hg -3.008 -5.901 1.730
Hg -0.289 -4.625 -0.127
Hg 3.901 -4.868 -5.174
Sn -5.324 -2.454 2.284
Sn 1.787 -6.737 -3.531
Tl 2.628 -3.897 -1.974
Tl -6.165 -5.294 0.728
```

Calculated values
E_form = 0.022 eV/atom
Crystal system = monoclinic

Computed, not measured: AcPm2Cd2 after structural relaxation at the PBE level of DFT.

The structure in extended XYZ format:
```
10
Lattice="3.880 0.000 -0.521 0.000 5.656 0.000 -0.049 0.000 14.412" Properties=species:S:1:pos:R:3 pbc="T T T"
Pm 2.938 1.414 7.184
Pm 0.183 4.242 1.364
Pm 0.894 4.242 6.707
Pm 3.649 1.414 12.527
Cd 2.107 1.414 0.979
Cd 2.485 4.242 3.793
Cd 1.346 1.414 10.098
Cd 1.724 4.242 12.912
Ac 0.559 1.414 4.122
Ac 3.273 4.242 9.769
```

Calculated values
E_form = -0.234 eV/atom
Offset from the most stable computed form = 0 meV per atom
Crystal system = monoclinic

Computed, not measured: Y6Pt2PbSe3 after structural relaxation at the PBE level of DFT.

The structure in extended XYZ format:
```
12
Lattice="4.021 0.000 0.000 0.000 8.634 -0.259 -2.011 -3.079 8.932" Properties=species:S:1:pos:R:3 pbc="T T T"
Pt 2.011 3.855 5.930
Pt 0.000 1.700 2.743
Se 2.011 4.317 -0.129
Se 0.000 6.076 2.738
Se 2.011 -0.521 5.936
Y 2.011 3.738 3.000
Y 0.000 5.889 5.569
Y 2.011 -0.732 8.809
Y 0.000 1.818 5.674
Y 2.011 -0.333 3.105
Y 0.000 6.287 -0.135
Pb 2.011 0.000 0.000
```

Calculated values
E_form (uncorrected) = -1562 kJ/mol of formula units
Crystal system = monoclinic

Taking the records one at a time from the top gives M_tot values of 0.34, 0.00, 0.00, 0.00 μB/atom.